# SmCd2Hg4

An optimized crystal structure of SmCd2Hg4 (PBE-GGA, the Alexandria database).

Summary:
energy relative to the lowest polymorph listed for this composition: 128 meV/atom
formation energy from the elements: -0.076 eV per atom
magnetic moment: 0.0000 μB per atom

POSCAR file:
```
SmCd2Hg4
1.0
4.509 0.000 0.000
2.254 3.905 0.000
2.254 1.302 11.319
Cd Hg Sm
2 4 1
Direct
0.189 0.189 0.432
0.811 0.811 0.568
0.281 0.281 0.156
0.098 0.098 0.705
0.719 0.719 0.844
0.902 0.902 0.295
0.000 0.000 0.000
```

***

# Dy2HoTmSc2

An optimized crystal structure of Dy2HoTmSc2 (PBE-GGA, the Alexandria database).

Summary:
formation energy from the elements: 0.070 eV per atom
magnetic moment: 0.0008 μB per atom

POSCAR file:
```
Dy2HoTmSc2
1.0
-3.946 -3.313 -1.659
6.229 -5.000 -4.833
1.044 -3.979 5.461
Sc Dy Tm Ho
4 4 2 2
Direct
0.000 0.333 0.750
0.000 0.667 0.250
0.500 0.833 0.750
0.500 0.167 0.250
0.500 0.833 0.249
0.000 0.667 0.749
0.500 0.167 0.751
0.000 0.333 0.251
0.000 0.000 0.000
0.500 0.500 0.500
0.000 0.000 0.500
0.500 0.500 0.000
```

***

# Ho6Tl5Sb

An optimized crystal structure of Ho6Tl5Sb (PBE-GGA, the Alexandria database).

Summary:
magnetic moment: 0.0000 μB per atom
formation energy from raw total energies: -395.8 meV/atom

POSCAR file:
```
Ho6Tl5Sb
1.0
9.557 -0.133 0.000
2.839 4.314 0.000
1.419 2.157 7.801
Tl Ho Sb
5 6 1
Direct
0.000 0.676 0.649
0.000 0.324 0.351
0.500 0.834 0.333
0.500 0.500 0.000
0.500 0.166 0.667
0.242 0.258 0.000
0.252 0.585 0.326
0.748 0.415 0.674
0.252 0.910 0.674
0.748 0.090 0.326
0.758 0.742 0.000
0.000 0.000 0.000
```

***

# Si3AsW

An optimized crystal structure of Si3AsW (PBE-GGA, the Alexandria database).

Summary:
energy relative to the lowest polymorph listed for this composition: 866 meV/atom
magnetic moment: 0.0000 μB per atom
formation energy from raw total energies: 1735.2 meV/atom

POSCAR file:
```
Si3AsW
1.0
4.582 0.000 0.000
0.000 4.582 0.000
0.000 0.000 4.582
W Si As
1 3 1
Direct
0.500 0.500 0.500
0.000 0.500 0.000
0.000 0.000 0.500
0.500 0.000 0.000
0.000 0.000 0.000
```

***

# La2Tm6Mg

An optimized crystal structure of La2Tm6Mg (PBE-GGA, the Alexandria database).

Summary:
energy relative to the lowest polymorph listed for this composition: 11 meV/atom
formation energy from the elements: 0.094 eV per atom
magnetic moment: 0.0060 μB per atom

POSCAR file:
```
La2Tm6Mg
1.0
-0.939 1.620 -2.980
-0.427 -3.479 0.322
-24.072 3.849 9.677
Tm La Mg
6 2 1
Direct
0.000 0.000 0.791
0.000 0.000 0.209
0.333 0.667 0.896
0.000 0.000 0.437
0.333 0.667 0.104
0.000 0.000 0.563
0.333 0.667 0.673
0.333 0.667 0.327
0.000 0.000 0.000
```

***

# Ca2Cd12GaAg3

An optimized crystal structure of Ca2Cd12GaAg3 (PBE-GGA, the Alexandria database).

Summary:
formation energy from the elements: -0.034 eV per atom
magnetic moment: 0.0000 μB per atom

POSCAR file:
```
Ca2Cd12GaAg3
1.0
-12.945 -6.823 1.325
-10.288 -10.072 -2.934
-9.121 -11.168 2.827
Ag Cd Ga Ca
3 12 1 2
Direct
0.000 0.500 0.000
0.500 0.000 0.000
0.000 0.000 0.500
0.392 0.875 0.392
0.887 0.887 0.390
0.608 0.125 0.608
0.392 0.392 0.875
0.608 0.608 0.125
0.875 0.392 0.392
0.610 0.113 0.113
0.113 0.113 0.610
0.390 0.887 0.887
0.887 0.390 0.887
0.125 0.608 0.608
0.113 0.610 0.113
0.000 0.000 0.000
0.351 0.351 0.351
0.649 0.649 0.649
```

***

# HfNi2Pd2

An optimized crystal structure of HfNi2Pd2 (PBE-GGA, the Alexandria database).

Summary:
energy relative to the lowest polymorph listed for this composition: 85 meV/atom
formation energy from the elements: -0.227 eV per atom
magnetic moment: 0.0009 μB per atom

POSCAR file:
```
HfNi2Pd2
1.0
-1.983 -2.753 0.549
1.199 -0.222 3.213
-5.257 2.434 3.968
Ni Pd Hf
2 2 1
Direct
0.250 0.750 0.500
0.750 0.250 0.500
0.397 0.397 0.206
0.603 0.603 0.794
0.000 0.000 0.000
```

***

# LiSbSeS

An optimized crystal structure of LiSbSeS (PBE-GGA, the Alexandria database).

Summary:
magnetic moment: 0.0000 μB per atom
formation energy from raw total energies: -639.8 meV/atom

POSCAR file:
```
LiSbSeS
1.0
-1.582 2.203 3.003
-3.460 -2.065 -0.365
3.545 -5.893 0.942
S Se Li Sb
1 1 1 1
Direct
0.535 0.568 0.103
0.547 0.065 0.612
0.100 0.028 0.128
0.146 0.540 0.687
```

***

Taking the records one at a time from the top gives calculated total energy values of -1.18, -5.08, -4.01, -5.04, -4.16, -1.51, -6.61, -4.05 eV per atom.